A geometry-optimized CsMnF3 structure, computed with PBE+U.

Structure (CIF):
```
data_CsMnF3
_cell_length_a 3.728
_cell_length_b 5.809
_cell_length_c 8.088
_cell_angle_alpha 90.00
_cell_angle_beta 90.00
_cell_angle_gamma 90.00
_symmetry_space_group_name_H-M 'P m m n'
_symmetry_Int_Tables_number 59
loop_
_symmetry_equiv_pos_as_xyz
'x,y,z'
'-x,-y,-z'
'-x+1/2,-y+1/2,z'
'x+1/2,y+1/2,-z'
'x+1/2,-y,-z'
'-x+1/2,y,z'
'-x,y+1/2,-z'
'x,-y+1/2,z'
loop_
_atom_site_label
_atom_site_fract_x
_atom_site_fract_y
_atom_site_fract_z
_atom_site_occupancy
Cs1 0.250 0.250 0.137 1
Mn1 0.250 0.750 0.413 1
F1 0.250 0.007 0.614 1
F2 0.250 0.750 0.155 1
```

## Properties
VASP energy: -5.43 eV per atom
Total magnetization: 5.00 μB per formula unit
DOS at the Fermi energy: 0.0 states/eV/f.u.
Theoretical density: 4.6 g/cm³